## Ta2CrCo (PBE-GGA)

Data for an optimized crystal structure of Ta2CrCo.

Results
* uncorrected energy: -10.0012 eV/atom
* ΔE_f: 0.1075 eV/atom

Cell lengths 2.790, 4.405, 4.909 Å; angles 90.00, 100.41, 90.00 degrees
Space group Pm (No. 6)
One atom of each set of equivalent atoms:
Ta 0.000 0.000 0.000 x1
Ta 0.266 0.500 0.697 x1
Cr 0.529 0.000 0.499 x1
Co 0.725 0.500 0.210 x1



## Ta2CrCo (PBE-GGA)

Data for an optimized crystal structure of Ta2CrCo.

Results
* uncorrected energy: -9.9969 eV/atom
* ΔE_f: 0.1117 eV/atom

Cell lengths 2.758, 4.071, 5.362 Å; angles 90.00, 100.16, 90.00 degrees
Space group P2/m (No. 10)
One atom of each set of equivalent atoms:
Ta 0.238 0.000 0.253 x2
Cr 0.000 0.500 0.500 x1
Co 0.500 0.500 0.000 x1



Sequential M_tot output: 1.2, 0.8 Bohr magnetons per cell